{"formula": "Pr2Sc3Tl2", "functional": "GGA-PBE", "state": "relaxed", "vol_a3_per_cell": 189.7, "crystal_system": "triclinic", "dos_ef_per_ev_fu": 7.356, "mass_density_g_cm3": 7.225, "delta_e_f_ev_per_atom": -0.18, "energy_ev_per_atom": -4.94, "lattice": [[3.861, -0.004, 0.001], [-1.925, 5.889, -0.035], [-0.003, -0.756, 8.351]], "species": ["Pr", "Pr", "Sc", "Sc", "Sc", "Tl", "Tl"], "fractional_positions": [[0.867, 0.736, 0.572], [0.133, 0.264, 0.428], [0.000, 0.000, 0.000], [0.726, 0.453, 0.136], [0.274, 0.547, 0.864], [0.581, 0.162, 0.753], [0.419, 0.838, 0.247]]}


{"formula": "Pr3HoCd2", "functional": "GGA-PBE", "state": "relaxed", "vol_a3_per_cell": 185.4, "crystal_system": "tetragonal", "dos_ef_per_ev_fu": 7.793, "mass_density_g_cm3": 7.278, "delta_e_f_ev_per_atom": -0.19, "energy_ev_per_atom": -3.65, "relative_energy_mev_per_atom": 0, "lattice": [[3.801, 0.000, 0.000], [0.000, 3.801, 0.000], [0.000, 0.000, 12.829]], "species": ["Pr", "Pr", "Pr", "Ho", "Cd", "Cd"], "fractional_positions": [[0.000, 0.000, 0.000], [0.000, 0.000, 0.689], [0.000, 0.000, 0.311], [0.500, 0.500, 0.500], [0.500, 0.500, 0.842], [0.500, 0.500, 0.158]]}


{"formula": "CsI2", "functional": "GGA-PBE", "state": "relaxed", "vol_a3_per_cell": 651.7, "crystal_system": "orthorhombic", "dos_ef_per_ev_fu": 0.252, "mass_density_g_cm3": 3.942, "energy_ev_per_atom": -2.29, "relative_energy_mev_per_atom": 90, "formation_energy_uncorrected_kj_per_mol_fu": -281.5, "lattice": [[5.529, 0.000, 0.000], [0.000, 9.569, 0.000], [0.000, 0.000, 12.316]], "species": ["Cs", "Cs", "Cs", "Cs", "I", "I", "I", "I", "I", "I", "I", "I"], "fractional_positions": [[0.750, 0.858, 0.157], [0.250, 0.642, 0.657], [0.750, 0.358, 0.343], [0.250, 0.142, 0.843], [0.750, 0.352, 0.664], [0.250, 0.148, 0.164], [0.750, 0.852, 0.836], [0.250, 0.648, 0.336], [0.750, 0.459, 0.021], [0.250, 0.041, 0.521], [0.750, 0.959, 0.479], [0.250, 0.541, 0.979]]}


{"formula": "Ca2As4Ir3", "functional": "GGA-PBE", "state": "relaxed", "vol_a3_per_cell": 179.1, "crystal_system": "orthorhombic", "dos_ef_per_ev_fu": 4.101, "mass_density_g_cm3": 8.870, "delta_e_f_ev_per_atom": -0.59, "energy_ev_per_atom": -6.06, "lattice": [[-0.801, 4.605, 3.357], [-4.323, -3.622, -1.147], [4.091, -3.921, 3.964]], "species": ["Ca", "Ca", "As", "As", "As", "As", "Ir", "Ir", "Ir"], "fractional_positions": [[0.632, 0.632, 0.265], [0.368, 0.368, 0.735], [0.010, 0.690, 0.700], [0.690, 0.010, 0.700], [0.990, 0.310, 0.300], [0.310, 0.990, 0.300], [0.500, 0.000, 0.000], [0.000, 0.000, 0.000], [0.000, 0.500, 0.000]]}


{"formula": "Ba4PdN", "functional": "GGA-PBE", "state": "relaxed", "vol_a3_per_cell": 522.4, "crystal_system": "monoclinic", "dos_ef_per_ev_fu": 3.920, "mass_density_g_cm3": 4.257, "energy_ev_per_atom": -3.81, "relative_energy_mev_per_atom": 77, "formation_energy_uncorrected_kj_per_mol_fu": -160.1, "lattice": [[6.161, 0.000, 0.000], [-3.081, 9.205, -0.126], [0.000, -2.913, 9.251]], "species": ["Ba", "Ba", "Ba", "Ba", "Ba", "Ba", "Ba", "Ba", "Pd", "Pd", "N", "N"], "fractional_positions": [[0.057, 0.115, 0.381], [0.135, 0.269, 0.966], [0.744, 0.488, 0.320], [0.614, 0.227, 0.691], [0.386, 0.773, 0.309], [0.256, 0.512, 0.680], [0.865, 0.731, 0.034], [0.943, 0.885, 0.619], [0.221, 0.442, 0.325], [0.779, 0.558, 0.675], [0.101, 0.201, 0.680], [0.899, 0.799, 0.320]]}


{"formula": "BaPrPb4", "functional": "GGA-PBE", "state": "relaxed", "vol_a3_per_cell": 205.4, "crystal_system": "cubic", "dos_ef_per_ev_fu": 3.804, "mass_density_g_cm3": 8.951, "delta_e_f_ev_per_atom": -0.32, "energy_ev_per_atom": -3.91, "lattice": [[6.623, 0.000, 0.000], [3.311, 5.735, 0.000], [3.311, 1.912, 5.407]], "species": ["Pb", "Pb", "Pb", "Pb", "Pr", "Ba"], "fractional_positions": [[0.624, 0.624, 0.127], [0.624, 0.127, 0.624], [0.624, 0.624, 0.624], [0.127, 0.624, 0.624], [0.250, 0.250, 0.250], [0.000, 0.000, 0.000]]}


{"formula": "KY2In", "functional": "GGA-PBE", "state": "relaxed", "vol_a3_per_cell": 136.6, "crystal_system": "monoclinic", "dos_ef_per_ev_fu": 5.679, "mass_density_g_cm3": 4.034, "delta_e_f_ev_per_atom": 0.14, "energy_ev_per_atom": -4.05, "lattice": [[-4.627, -0.145, -2.609], [-1.079, -2.740, 2.065], [-3.317, 3.269, 5.703]], "species": ["In", "K", "Y", "Y"], "fractional_positions": [[0.500, 0.250, 0.250], [0.500, 0.750, 0.750], [0.000, 0.060, 0.049], [0.000, 0.440, 0.451]]}


{"formula": "TcSb2Rh", "functional": "GGA-PBE", "state": "relaxed", "vol_a3_per_cell": 73.7, "crystal_system": "tetragonal", "dos_ef_per_ev_fu": 3.999, "mass_density_g_cm3": 10.015, "energy_ev_per_atom": -6.27, "relative_energy_mev_per_atom": 290, "formation_energy_uncorrected_kj_per_mol_fu": 85.9, "lattice": [[5.618, -0.003, 0.000], [2.946, 4.784, 0.000], [-4.282, -2.391, 2.741]], "species": ["Rh", "Sb", "Sb", "Tc"], "fractional_positions": [[0.750, 0.250, 0.500], [0.000, 0.000, 0.000], [0.250, 0.750, 0.500], [0.500, 0.500, 0.000]]}


{"formula": "PtAu", "functional": "GGA-PBE", "state": "relaxed", "vol_a3_per_cell": 67.9, "crystal_system": "cubic", "dos_ef_per_ev_fu": 2.004, "mass_density_g_cm3": 19.185, "delta_e_f_ev_per_atom": 0.13, "energy_ev_per_atom": -4.53, "lattice": [[-2.450, -3.419, 1.808], [1.316, -4.340, -0.626], [1.679, -2.412, 3.511]], "species": ["Au", "Au", "Pt", "Pt"], "fractional_positions": [[0.000, 0.000, 0.000], [0.750, 0.750, 0.750], [0.250, 0.250, 0.250], [0.500, 0.500, 0.500]]}


{"formula": "La6Ho3Sc", "functional": "GGA-PBE", "state": "relaxed", "vol_a3_per_cell": 347.6, "crystal_system": "trigonal", "dos_ef_per_ev_fu": 19.073, "mass_density_g_cm3": 6.559, "delta_e_f_ev_per_atom": 0.18, "energy_ev_per_atom": -4.79, "lattice": [[8.801, 0.000, 4.671], [3.161, 8.214, 4.671], [2.183, 1.499, 6.514]], "species": ["La", "La", "La", "La", "La", "La", "Ho", "Ho", "Ho", "Sc"], "fractional_positions": [[0.929, 0.604, 0.202], [0.266, 0.929, 0.202], [0.604, 0.266, 0.202], [0.096, 0.434, 0.699], [0.771, 0.096, 0.699], [0.434, 0.771, 0.699], [0.350, 0.350, 0.949], [0.605, 0.605, 0.186], [0.096, 0.096, 0.712], [0.850, 0.850, 0.449]]}


{"formula": "MgTlPt2", "functional": "GGA-PBE", "state": "relaxed", "vol_a3_per_cell": 73.1, "crystal_system": "trigonal", "dos_ef_per_ev_fu": 1.475, "mass_density_g_cm3": 14.061, "delta_e_f_ev_per_atom": -0.24, "energy_ev_per_atom": -4.26, "lattice": [[9.357, 0.003, 0.002], [8.865, 2.993, 0.002], [8.865, 1.458, 2.614]], "species": ["Mg", "Pt", "Pt", "Tl"], "fractional_positions": [[0.750, 0.750, 0.750], [0.009, 0.009, 0.009], [0.491, 0.491, 0.491], [0.250, 0.250, 0.250]]}


{"formula": "NpTcRu2", "functional": "GGA-PBE", "state": "relaxed", "vol_a3_per_cell": 63.4, "crystal_system": "tetragonal", "dos_ef_per_ev_fu": 5.620, "mass_density_g_cm3": 14.064, "delta_e_f_ev_per_atom": -0.02, "energy_ev_per_atom": -10.48, "relative_energy_mev_per_atom": 0, "lattice": [[3.997, 0.000, 0.000], [0.000, 3.983, 0.000], [0.000, 0.000, 3.983]], "species": ["Np", "Ru", "Ru", "Tc"], "fractional_positions": [[0.500, 0.500, 0.500], [0.000, 0.000, 0.500], [0.000, 0.500, 0.000], [0.500, 0.000, 0.000]]}


{"formula": "Ba3Sn4Rh2", "functional": "GGA-PBE", "state": "relaxed", "vol_a3_per_cell": 274.6, "crystal_system": "monoclinic", "dos_ef_per_ev_fu": 5.878, "mass_density_g_cm3": 6.608, "delta_e_f_ev_per_atom": -0.60, "energy_ev_per_atom": -4.66, "lattice": [[-0.670, -1.763, -4.416], [-4.892, -2.115, 4.198], [-3.416, 8.101, -2.716]], "species": ["Ba", "Ba", "Ba", "Sn", "Sn", "Sn", "Sn", "Rh", "Rh"], "fractional_positions": [[0.601, 0.202, 0.693], [0.000, 0.000, 0.000], [0.399, 0.798, 0.307], [0.716, 0.431, 0.086], [0.284, 0.569, 0.914], [0.875, 0.749, 0.608], [0.125, 0.251, 0.392], [0.712, 0.425, 0.378], [0.288, 0.575, 0.622]]}


{"formula": "CaPm2Rh", "functional": "GGA-PBE", "state": "relaxed", "vol_a3_per_cell": 468.0, "crystal_system": "orthorhombic", "dos_ef_per_ev_fu": 3.692, "mass_density_g_cm3": 6.145, "delta_e_f_ev_per_atom": -0.39, "energy_ev_per_atom": -5.11, "relative_energy_mev_per_atom": 0, "lattice": [[6.408, 0.000, 0.000], [0.000, 7.410, 0.000], [0.000, 0.000, 9.856]], "species": ["Ca", "Ca", "Ca", "Ca", "Pm", "Pm", "Pm", "Pm", "Pm", "Pm", "Pm", "Pm", "Rh", "Rh", "Rh", "Rh"], "fractional_positions": [[0.638, 0.536, 0.250], [0.862, 0.036, 0.250], [0.362, 0.464, 0.750], [0.138, 0.964, 0.750], [0.171, 0.673, 0.065], [0.329, 0.173, 0.435], [0.829, 0.327, 0.565], [0.671, 0.827, 0.935], [0.829, 0.327, 0.935], [0.671, 0.827, 0.565], [0.171, 0.673, 0.435], [0.329, 0.173, 0.065], [0.086, 0.392, 0.250], [0.414, 0.892, 0.250], [0.914, 0.608, 0.750], [0.586, 0.108, 0.750]]}


{"formula": "Ti2Si2O5", "functional": "GGA-PBE", "state": "relaxed", "vol_a3_per_cell": 83.3, "crystal_system": "tetragonal", "dos_ef_per_ev_fu": 2.118, "mass_density_g_cm3": 4.622, "energy_ev_per_atom": -7.46, "formation_energy_uncorrected_kj_per_mol_fu": -1513.6, "lattice": [[3.792, 0.000, 0.000], [0.000, 3.792, 0.000], [0.000, 0.000, 5.793]], "species": ["Ti", "Ti", "Si", "Si", "O", "O", "O", "O", "O"], "fractional_positions": [[0.000, 0.000, 0.000], [0.000, 0.000, 0.500], [0.500, 0.500, 0.209], [0.500, 0.500, 0.791], [0.500, 0.000, 0.228], [0.500, 0.000, 0.772], [0.500, 0.500, 0.500], [0.000, 0.500, 0.228], [0.000, 0.500, 0.772]]}


{"formula": "Si2RuBr", "functional": "GGA-PBE", "state": "relaxed", "vol_a3_per_cell": 64.4, "crystal_system": "monoclinic", "dos_ef_per_ev_fu": 1.952, "mass_density_g_cm3": 6.111, "energy_ev_per_atom": -4.87, "relative_energy_mev_per_atom": 555, "formation_energy_uncorrected_kj_per_mol_fu": 225.0, "lattice": [[5.832, 0.001, 0.003], [-2.489, 3.997, 0.002], [0.854, 1.107, 2.766]], "species": ["Br", "Ru", "Si", "Si"], "fractional_positions": [[0.000, 0.500, 0.500], [0.500, 0.500, 0.000], [0.000, 0.000, 0.000], [0.500, 0.000, 0.500]]}


{"formula": "LiCuAg2", "functional": "GGA-PBE", "state": "relaxed", "vol_a3_per_cell": 61.8, "crystal_system": "orthorhombic", "dos_ef_per_ev_fu": 0.785, "mass_density_g_cm3": 7.689, "delta_e_f_ev_per_atom": -0.06, "energy_ev_per_atom": -2.99, "lattice": [[-0.496, 4.525, -0.678], [-1.260, 0.239, 2.514], [4.227, 0.770, 2.045]], "species": ["Cu", "Ag", "Ag", "Li"], "fractional_positions": [[0.000, 0.625, 0.440], [0.000, 0.125, 0.935], [0.500, 0.125, 0.319], [0.500, 0.625, 0.806]]}


{"formula": "LaCeThZn", "functional": "GGA-PBE", "state": "relaxed", "vol_a3_per_cell": 107.7, "crystal_system": "cubic", "dos_ef_per_ev_fu": 7.997, "mass_density_g_cm3": 8.885, "delta_e_f_ev_per_atom": 0.10, "energy_ev_per_atom": -4.79, "lattice": [[-5.210, -0.176, 1.163], [-1.852, -3.668, 3.413], [-1.707, 1.477, 4.840]], "species": ["Zn", "Ce", "Th", "La"], "fractional_positions": [[0.250, 0.250, 0.250], [0.750, 0.750, 0.750], [0.500, 0.500, 0.500], [0.000, 0.000, 0.000]]}


{"formula": "AcNd2V", "functional": "GGA-PBE", "state": "relaxed", "vol_a3_per_cell": 133.4, "crystal_system": "trigonal", "dos_ef_per_ev_fu": 5.186, "mass_density_g_cm3": 7.050, "delta_e_f_ev_per_atom": 0.70, "energy_ev_per_atom": -4.99, "lattice": [[-3.384, 0.085, 1.176], [-1.874, -3.041, 0.289], [2.131, -2.308, 11.758]], "species": ["Ac", "Nd", "Nd", "V"], "fractional_positions": [[0.500, 0.500, 0.500], [0.079, 0.079, 0.762], [0.921, 0.921, 0.238], [0.000, 0.000, 0.000]]}


{"formula": "Re3HgOs", "functional": "GGA-PBE", "state": "relaxed", "vol_a3_per_cell": 107.5, "crystal_system": "cubic", "dos_ef_per_ev_fu": 5.619, "mass_density_g_cm3": 14.672, "delta_e_f_ev_per_atom": 3.75, "energy_ev_per_atom": -6.03, "relative_energy_mev_per_atom": 1562, "lattice": [[-3.811, 2.721, 0.821], [-1.923, -3.480, 2.607], [2.093, 1.758, 3.890]], "species": ["Re", "Re", "Re", "Os", "Hg"], "fractional_positions": [[0.000, 0.500, 0.000], [0.000, 0.000, 0.500], [0.500, 0.000, 0.000], [0.500, 0.500, 0.500], [0.000, 0.000, 0.000]]}


{"formula": "FeRuPt2", "functional": "GGA-PBE", "state": "relaxed", "vol_a3_per_cell": 58.0, "crystal_system": "orthorhombic", "dos_ef_per_ev_fu": 5.109, "mass_density_g_cm3": 15.667, "delta_e_f_ev_per_atom": -0.07, "energy_ev_per_atom": -7.53, "lattice": [[4.437, 0.000, 0.000], [0.000, 2.733, -0.004], [0.000, 0.008, 4.782]], "species": ["Ru", "Fe", "Pt", "Pt"], "fractional_positions": [[0.000, 0.625, 0.458], [0.500, 0.625, 0.786], [0.000, 0.125, 0.955], [0.500, 0.125, 0.301]]}


{"formula": "HfTlS2", "functional": "GGA-PBE", "state": "relaxed", "vol_a3_per_cell": 181.0, "crystal_system": "tetragonal", "dos_ef_per_ev_fu": 2.523, "mass_density_g_cm3": 8.203, "energy_ev_per_atom": -5.78, "formation_energy_uncorrected_kj_per_mol_fu": -246.8, "lattice": [[5.608, 0.000, 0.000], [0.000, 5.608, 0.000], [2.804, 2.804, 5.754]], "species": ["Tl", "Tl", "Hf", "Hf", "S", "S", "S", "S"], "fractional_positions": [[0.000, 0.000, 0.000], [0.750, 0.250, 0.500], [0.500, 0.500, 0.000], [0.250, 0.750, 0.500], [0.722, 0.722, 0.556], [0.028, 0.528, 0.944], [0.278, 0.278, 0.444], [0.472, 0.972, 0.056]]}


{"formula": "KTcAg2", "functional": "GGA-PBE", "state": "relaxed", "vol_a3_per_cell": 272.2, "crystal_system": "tetragonal", "dos_ef_per_ev_fu": 2.267, "mass_density_g_cm3": 4.304, "delta_e_f_ev_per_atom": 1.08, "energy_ev_per_atom": -3.21, "relative_energy_mev_per_atom": 458, "lattice": [[-4.667, 0.347, 2.673], [-2.688, -0.216, -4.666], [-4.013, -9.281, -0.371]], "species": ["K", "K", "Tc", "Tc", "Ag", "Ag", "Ag", "Ag"], "fractional_positions": [[0.500, 0.500, 0.000], [0.250, 0.750, 0.500], [0.000, 0.000, 0.000], [0.750, 0.250, 0.500], [0.875, 0.125, 0.250], [0.875, 0.625, 0.250], [0.375, 0.125, 0.750], [0.875, 0.125, 0.750]]}


{"formula": "SiPPdO2", "functional": "GGA-PBE", "state": "relaxed", "vol_a3_per_cell": 70.4, "crystal_system": "tetragonal", "dos_ef_per_ev_fu": 4.104, "mass_density_g_cm3": 4.659, "energy_ev_per_atom": -6.08, "relative_energy_mev_per_atom": 0, "formation_energy_uncorrected_kj_per_mol_fu": -430.5, "lattice": [[3.356, 0.000, 0.000], [0.000, 3.356, 0.000], [0.000, 0.000, 6.251]], "species": ["P", "Si", "O", "O", "Pd"], "fractional_positions": [[0.000, 0.000, 0.500], [0.000, 0.000, 0.000], [0.000, 0.500, 0.000], [0.500, 0.000, 0.000], [0.500, 0.500, 0.500]]}


{"formula": "Rb2H2I", "functional": "GGA-PBE", "state": "relaxed", "vol_a3_per_cell": 431.2, "crystal_system": "triclinic", "dos_ef_per_ev_fu": 1.613, "mass_density_g_cm3": 2.309, "energy_ev_per_atom": -2.55, "relative_energy_mev_per_atom": 14, "lattice": [[5.563, -0.001, -0.005], [-0.001, 8.905, 0.022], [-2.789, -2.389, 8.701]], "species": ["Rb", "Rb", "Rb", "Rb", "H", "H", "H", "H", "I", "I"], "fractional_positions": [[0.875, 0.160, 0.249], [0.375, 0.660, 0.249], [0.125, 0.840, 0.751], [0.625, 0.340, 0.751], [0.931, 0.500, 0.500], [0.430, 0.000, 0.500], [0.069, 0.500, 0.500], [0.570, 0.000, 0.500], [0.750, 0.750, 0.000], [0.250, 0.250, 0.000]]}


{"formula": "ZrMnTe2N", "functional": "GGA-PBE", "state": "relaxed", "vol_a3_per_cell": 133.4, "crystal_system": "tetragonal", "dos_ef_per_ev_fu": 3.257, "mass_density_g_cm3": 5.172, "energy_ev_per_atom": -6.24, "relative_energy_mev_per_atom": 204, "formation_energy_uncorrected_kj_per_mol_fu": 106.5, "lattice": [[-0.983, -5.305, 2.029], [4.785, 0.336, 3.196], [-2.131, 1.553, 3.027]], "species": ["Mn", "Te", "Te", "Zr", "N"], "fractional_positions": [[0.500, 0.500, 0.500], [0.000, 0.500, 0.000], [0.500, 0.000, 0.000], [0.000, 0.000, 0.000], [0.000, 0.000, 0.500]]}